HfTaBe2Ga: PBEsol geometry, SCAN.

The calculation puts the total energy at -151.099 eV/cell. For the spin magnetization, the calculation gives 0.00 μB/f.u. Its energy of formation is 0.642 eV per atom.

It has space group P4/mmm (No. 123), with a = 4.127 Å, b = 4.127 Å, c = 4.803 Å, α = 90.00°, β = 90.00° and γ = 90.00°. The inequivalent atoms are Hf at (0.000, 0.000, 0.000), Ta at (0.500, 0.500, 0.000), Be at (0.000, 0.500, 0.500) and Ga at (0.500, 0.500, 0.500).